Entry 1:
HoSn2Pt9 PBE optimized geometry; energy relative to the elements = -7.4 eV/f.u.
1.0
4.076 0.000 0.000
0.000 4.076 0.000
0.000 0.000 12.224
Ho Sn Pt
1 2 9
direct
0.000 0.000 0.000
0.000 0.000 0.333
0.000 0.000 0.667
0.000 0.500 0.170
0.000 0.500 0.500
0.000 0.500 0.830
0.500 0.000 0.170
0.500 0.000 0.500
0.500 0.000 0.830
0.500 0.500 0.000
0.500 0.500 0.336
0.500 0.500 0.664

Entry 2:
Ho3Sn4Pt3 PBE optimized geometry; energy relative to the elements = -8.8 eV/f.u.
1.0
-4.899 4.899 4.899
4.899 -4.899 4.899
4.899 4.899 -4.899
Ho Sn Pt
6 8 6
direct
0.125 0.750 0.875
0.250 0.625 0.375
0.375 0.250 0.625
0.625 0.375 0.250
0.750 0.875 0.125
0.875 0.125 0.750
0.000 0.336 0.500
0.000 0.836 0.500
0.164 0.164 0.164
0.336 0.500 0.000
0.500 0.000 0.336
0.500 0.000 0.836
0.664 0.664 0.664
0.836 0.500 0.000
0.125 0.875 0.250
0.250 0.125 0.875
0.375 0.625 0.750
0.625 0.750 0.375
0.750 0.375 0.625
0.875 0.250 0.125

Entry 3:
HoSn2Pt PBE optimized geometry; energy relative to the elements = -2.4 eV/f.u.
1.0
4.462 0.000 0.000
0.000 4.462 0.000
0.000 0.000 4.426
Ho Sn Pt
1 2 1
direct
0.000 0.000 0.000
0.000 0.500 0.500
0.500 0.000 0.500
0.500 0.500 0.000

Entry 4:
Ho4SnPt2 PBE optimized geometry; energy relative to the elements = -6.2 eV/f.u.
1.0
2.338 1.350 9.863
-2.338 1.350 9.863
0.000 -2.700 9.863
Ho Sn Pt
4 1 2
direct
0.115 0.115 0.115
0.299 0.299 0.299
0.701 0.701 0.701
0.885 0.885 0.885
0.500 0.500 0.500
0.399 0.399 0.399
0.601 0.601 0.601

Entry 5:
HoSnPt2 PBE optimized geometry; energy relative to the elements = -4.0 eV/f.u.
1.0
5.812 0.000 0.000
0.000 4.320 0.000
-2.727 0.000 6.519
Ho Sn Pt
2 2 4
direct
0.228 0.250 0.430
0.772 0.750 0.570
0.179 0.250 0.904
0.821 0.750 0.096
0.326 0.750 0.181
0.335 0.750 0.741
0.665 0.250 0.259
0.674 0.250 0.819

Entry 6:
Ho3SnPt12 PBE optimized geometry; energy relative to the elements = -14.2 eV/f.u.
1.0
4.103 0.000 0.000
0.000 4.103 0.000
0.000 0.000 16.337
Ho Sn Pt
3 1 12
direct
0.000 0.000 0.000
0.000 0.000 0.250
0.000 0.000 0.750
0.000 0.000 0.500
0.000 0.500 0.126
0.000 0.500 0.378
0.000 0.500 0.622
0.000 0.500 0.874
0.500 0.000 0.126
0.500 0.000 0.378
0.500 0.000 0.622
0.500 0.000 0.874
0.500 0.500 0.000
0.500 0.500 0.253
0.500 0.500 0.500
0.500 0.500 0.747

Entry 7:
Ho4SnPt PBE optimized geometry; energy relative to the elements = -3.4 eV/f.u.
1.0
7.406 0.000 0.000
0.000 7.019 0.000
-0.161 0.000 7.009
Ho Sn Pt
8 2 2
direct
0.142 0.163 0.173
0.142 0.337 0.673
0.320 0.646 0.137
0.320 0.854 0.637
0.680 0.146 0.363
0.680 0.354 0.863
0.858 0.663 0.327
0.858 0.837 0.827
0.500 0.000 0.000
0.500 0.500 0.500
0.000 0.000 0.500
0.000 0.500 0.000

Entry 8:
Ho7Sn2Pt2 PBE optimized geometry; energy relative to the elements = -7.1 eV/f.u.
1.0
4.137 -5.476 0.000
4.137 5.476 0.000
0.000 0.000 7.020
Ho Sn Pt
7 2 2
direct
0.000 0.000 0.000
0.000 0.500 0.252
0.000 0.500 0.748
0.500 0.000 0.252
0.500 0.000 0.748
0.500 0.500 0.241
0.500 0.500 0.759
0.181 0.181 0.500
0.819 0.819 0.500
0.285 0.715 0.000
0.715 0.285 0.000

Entry 9:
HoSn6Pt PBE optimized geometry; energy relative to the elements = -2.0 eV/f.u.
1.0
3.147 -5.513 0.000
3.147 5.513 0.000
-2.602 0.000 5.973
Ho Sn Pt
1 6 1
direct
0.000 0.000 0.000
0.126 0.673 0.251
0.327 0.874 0.749
0.455 0.455 0.728
0.545 0.545 0.272
0.673 0.126 0.251
0.874 0.327 0.749
0.000 0.000 0.500

Entry 10:
HoSn2Pt PBE optimized geometry; energy relative to the elements = -0.6 eV/f.u.
1.0
1.756 1.014 9.994
-1.756 1.014 9.994
0.000 -2.027 9.994
Ho Sn Pt
1 2 1
direct
0.000 0.000 0.000
0.104 0.104 0.104
0.896 0.896 0.896
0.500 0.500 0.500

Entry 11:
Ho2SnPt9 PBE optimized geometry; energy relative to the elements = -10.0 eV/f.u.
1.0
4.093 0.000 0.000
0.000 4.093 0.000
0.000 0.000 12.276
Ho Sn Pt
2 1 9
direct
0.000 0.000 0.166
0.000 0.000 0.834
0.000 0.000 0.500
0.000 0.500 0.000
0.000 0.500 0.337
0.000 0.500 0.663
0.500 0.000 0.000
0.500 0.000 0.337
0.500 0.000 0.663
0.500 0.500 0.170
0.500 0.500 0.500
0.500 0.500 0.830

Entry 12:
HoSnPt4 PBE optimized geometry; energy relative to the elements = -4.6 eV/f.u.
1.0
0.000 3.823 3.823
3.823 0.000 3.823
3.823 3.823 0.000
Ho Sn Pt
1 1 4
direct
0.000 0.000 0.000
0.250 0.250 0.250
0.125 0.625 0.625
0.625 0.125 0.625
0.625 0.625 0.125
0.625 0.625 0.625

Entry 13:
HoSnPt2 PBE optimized geometry; energy relative to the elements = -3.5 eV/f.u.
1.0
4.617 0.000 0.000
0.000 4.617 0.000
0.000 0.000 3.704
Ho Sn Pt
1 1 2
direct
0.000 0.000 0.000
0.500 0.500 0.000
0.000 0.500 0.500
0.500 0.000 0.500

Entry 14:
HoZnSnPt PBE optimized geometry; energy relative to the elements = -2.7 eV/f.u.
1.0
0.000 3.416 3.416
3.416 0.000 3.416
3.416 3.416 0.000
Ho Zn Sn Pt
1 1 1 1
direct
0.000 0.000 0.000
0.750 0.750 0.750
0.500 0.500 0.500
0.250 0.250 0.250

Entry 15:
SrHoPt PBE optimized geometry; distance to the lowest polymorph of the same formula = 134 meV per atom; energy relative to the elements = -2.1 eV/f.u.
1.0
4.219 0.000 0.000
-2.109 3.654 0.000
0.000 0.000 6.714
Sr Ho Pt
1 1 1
direct
0.000 0.000 0.000
0.667 0.333 0.469
0.333 0.667 0.278

Entry 16:
SrHo2Pt9 PBE optimized geometry; energy relative to the elements = -10.5 eV/f.u.
1.0
2.733 1.578 8.797
-2.733 1.578 8.797
0.000 -3.156 8.797
Sr Ho Pt
1 2 9
direct
0.000 0.000 0.000
0.140 0.140 0.140
0.860 0.860 0.860
0.081 0.589 0.589
0.332 0.332 0.332
0.411 0.411 0.919
0.411 0.919 0.411
0.500 0.500 0.500
0.589 0.081 0.589
0.589 0.589 0.081
0.668 0.668 0.668
0.919 0.411 0.411

Entry 17:
SrHoPt PBE optimized geometry; distance to the lowest polymorph of the same formula = 115 meV per atom; energy relative to the elements = -2.2 eV/f.u.
1.0
-1.816 1.816 6.676
1.816 -1.816 6.676
1.816 1.816 -6.676
Sr Ho Pt
1 1 1
direct
0.000 0.000 0.000
0.256 0.256 0.000
0.657 0.657 0.000

Entry 18:
SrHoPt PBE optimized geometry; distance to the lowest polymorph of the same formula = 0 meV per atom; energy relative to the elements = -2.5 eV/f.u.
1.0
4.831 0.000 0.000
0.000 4.831 0.000
0.000 0.000 7.692
Sr Ho Pt
2 2 2
direct
0.250 0.250 0.129
0.750 0.750 0.871
0.250 0.750 0.500
0.750 0.250 0.500
0.250 0.250 0.699
0.750 0.750 0.301

Entry 19:
SrHoPt4 PBE optimized geometry; energy relative to the elements = -5.8 eV/f.u.
1.0
0.000 3.887 3.887
3.887 0.000 3.887
3.887 3.887 0.000
Sr Ho Pt
1 1 4
direct
0.000 0.000 0.000
0.250 0.250 0.250
0.126 0.625 0.625
0.625 0.126 0.625
0.625 0.625 0.126
0.625 0.625 0.625

Entry 20:
SrHoPt10 PBE optimized geometry; energy relative to the elements = -7.4 eV/f.u.
1.0
4.432 0.000 0.000
0.000 5.435 0.000
0.000 0.000 9.350
Sr Ho Pt
1 1 10
direct
0.000 0.000 0.000
0.000 0.500 0.500
0.000 0.000 0.339
0.000 0.000 0.661
0.000 0.500 0.175
0.000 0.500 0.825
0.500 0.000 0.500
0.500 0.253 0.255
0.500 0.253 0.745
0.500 0.500 0.000
0.500 0.747 0.255
0.500 0.747 0.745

Entry 21:
Sr2HoZn3Pt4 PBE optimized geometry; energy relative to the elements = -7.7 eV/f.u.
1.0
4.332 0.000 0.000
0.000 4.332 0.000
0.000 0.000 11.436
Sr Ho Zn Pt
2 1 3 4
direct
0.000 0.500 0.224
0.500 0.000 0.776
0.000 0.000 0.500
0.000 0.500 0.878
0.500 0.000 0.122
0.500 0.500 0.500
0.000 0.000 0.000
0.000 0.500 0.651
0.500 0.000 0.349
0.500 0.500 0.000

Entry 22:
Ho3TaPt12 PBE optimized geometry; energy relative to the elements = -15.8 eV/f.u.
1.0
4.078 0.000 0.000
0.000 4.078 0.000
0.000 0.000 16.357
Ho Ta Pt
3 1 12
direct
0.000 0.000 0.000
0.000 0.000 0.251
0.000 0.000 0.749
0.000 0.000 0.500
0.000 0.500 0.127
0.000 0.500 0.384
0.000 0.500 0.616
0.000 0.500 0.873
0.500 0.000 0.127
0.500 0.000 0.384
0.500 0.000 0.616
0.500 0.000 0.873
0.500 0.500 0.000
0.500 0.500 0.256
0.500 0.500 0.500
0.500 0.500 0.744

Entry 23:
Tb2HoPt3 PBE optimized geometry; distance to the lowest polymorph of the same formula = 88 meV per atom; energy relative to the elements = -6.8 eV/f.u.
1.0
6.401 -2.889 0.000
6.401 2.889 0.000
-2.554 0.000 7.725
Tb Ho Pt
4 2 6
direct
0.143 0.192 0.083
0.192 0.143 0.583
0.808 0.857 0.417
0.857 0.808 0.917
0.471 0.529 0.750
0.529 0.471 0.250
0.028 0.972 0.250
0.311 0.359 0.417
0.359 0.311 0.917
0.641 0.689 0.083
0.689 0.641 0.583
0.972 0.028 0.750